1.
Crystalline LiNbIn2O6 at its relaxed geometry. Source: Alexandria via LeMat-Bulk, functional GGA-PBE.

Cell and atoms, written as POSCAR:
```
LiNbIn2O6
1.0
2.718 1.569 4.968
-2.718 1.569 4.968
0.000 -3.139 4.968
Li Nb In O
1 1 2 6
Cartesian
0.000 0.000 0.000
0.000 0.000 6.942
0.000 0.000 3.867
0.000 0.000 11.223
-1.556 0.015 5.453
-0.947 -1.476 7.769
0.765 -1.355 5.453
-0.804 1.558 7.769
0.791 1.340 5.453
1.752 -0.083 7.769
```

Properties
VASP energy	-0.2453	hartree per atom
total magnetic moment	0.00	μB per formula unit
formation energy without anion corrections	-19.54	eV per formula unit
space group	R3

---

2.
Crystalline LiRuPtW at its relaxed geometry. Source: Alexandria via LeMat-Bulk, functional GGA-PBE.

Cell and atoms, written as POSCAR:
```
LiRuPtW
1.0
6.123 0.000 0.000
0.000 6.123 0.000
0.000 0.000 6.123
Li Ru Pt W
4 4 4 4
Cartesian
0.000 0.000 0.000
0.000 3.062 3.062
3.062 0.000 3.062
3.062 3.062 0.000
1.531 1.531 4.592
1.531 4.592 1.531
4.592 1.531 1.531
4.592 4.592 4.592
1.531 1.531 1.531
1.531 4.592 4.592
4.592 1.531 4.592
4.592 4.592 1.531
0.000 0.000 3.062
0.000 3.062 0.000
3.062 0.000 0.000
3.062 3.062 3.062
```

Properties
VASP energy	-0.2821	hartree per atom
E_form	-0.5	eV/f.u.
total magnetic moment	0.00	μB per formula unit
space group	F-43m

---

3.
Crystalline HgMo2Os at its relaxed geometry. Source: Alexandria via LeMat-Bulk, functional GGA-PBE.

Cell and atoms, written as POSCAR:
```
HgMo2Os
1.0
3.166 0.000 0.000
0.000 3.166 0.000
0.000 0.000 6.818
Hg Mo Os
1 2 1
Cartesian
0.000 0.000 0.000
0.000 0.000 3.503
1.583 1.583 1.930
1.583 1.583 4.851
```

Properties
VASP energy	-0.2856	hartree per atom
E_form	2.1	eV/f.u.
total magnetic moment	0.00	μB per formula unit
space group	P4mm

---

4.
Crystalline CuCl3 at its relaxed geometry. Source: Alexandria via LeMat-Bulk, functional GGA-PBE.

Cell and atoms, written as POSCAR:
```
CuCl3
1.0
3.598 0.000 0.000
0.000 3.598 0.000
0.000 0.000 14.582
Cu Cl
2 6
Cartesian
0.000 0.000 0.000
1.799 1.799 7.291
0.000 0.000 7.291
0.000 1.799 3.645
0.000 1.799 10.936
1.799 0.000 3.645
1.799 0.000 10.936
1.799 1.799 0.000
```

Properties
VASP energy	-0.0843	hartree per atom
total magnetic moment	0.00	μB per formula unit
formation energy without anion corrections	0.46	eV per formula unit
space group	I4/mmm

---

5.
Crystalline LaCdHRhAu at its relaxed geometry. Source: Alexandria via LeMat-Bulk, functional GGA-PBE.

Cell and atoms, written as POSCAR:
```
LaCdHRhAu
1.0
4.334 0.000 0.000
-1.666 4.664 0.000
-1.029 -1.062 4.765
La Cd H Rh Au
1 1 1 1 1
Cartesian
0.000 0.000 0.000
2.291 1.176 2.426
2.281 1.384 0.270
0.176 1.343 4.247
0.107 3.056 2.014
```

Properties
VASP energy	-0.1617	hartree per atom
total magnetic moment	0.00	μB per formula unit
offset from the most stable computed form	36.1	kJ/mol of formula units
space group	P1

---

6.
Crystalline AlCu2Ge at its relaxed geometry. Source: Alexandria via LeMat-Bulk, functional GGA-PBE.

Cell and atoms, written as POSCAR:
```
AlCu2Ge
1.0
6.985 0.000 0.000
0.000 6.985 0.000
0.000 0.000 5.186
Al Cu Ge
4 8 4
Cartesian
0.000 0.000 0.000
0.000 3.493 1.297
3.493 0.000 3.890
3.493 3.493 2.593
1.719 5.239 3.241
1.746 1.719 1.945
1.746 1.774 4.538
1.774 5.239 0.648
5.211 1.746 0.648
5.239 5.211 4.538
5.239 5.266 1.945
5.266 1.746 3.241
0.000 0.000 2.593
0.000 3.493 3.890
3.493 0.000 1.297
3.493 3.493 0.000
```

Properties
VASP energy	-0.1424	hartree per atom
E_form	1.0	eV/f.u.
total magnetic moment	0.00	μB per formula unit
offset from the most stable computed form	98.7	kJ/mol of formula units
space group	I-42d

---

7.
Crystalline Cr5C3 at its relaxed geometry. Source: Alexandria via LeMat-Bulk, functional GGA-PBE.

Cell and atoms, written as POSCAR:
```
Cr5C3
1.0
2.545 0.000 0.000
0.000 2.545 0.000
0.000 0.000 11.169
Cr C
5 3
Cartesian
0.000 0.000 0.000
0.000 0.000 2.399
0.000 0.000 8.769
1.273 1.273 4.443
1.273 1.273 6.726
0.000 0.000 5.584
1.273 1.273 1.388
1.273 1.273 9.781
```

Properties
VASP energy	-0.3338	hartree per atom
E_form	3.1	eV/f.u.
total magnetic moment	0.00	μB per formula unit
offset from the most stable computed form	248.7	kJ/mol of formula units
space group	P4/mmm

---

8.
Crystalline Hf2NbTl2 at its relaxed geometry. Source: Alexandria via LeMat-Bulk, functional GGA-PBE.

Cell and atoms, written as POSCAR:
```
Hf2NbTl2
1.0
3.936 0.000 0.000
0.000 3.936 0.000
0.000 0.000 16.033
Hf Nb Tl
4 2 4
Cartesian
0.000 0.000 1.409
0.000 0.000 14.624
1.968 1.968 6.608
1.968 1.968 9.425
0.000 0.000 8.017
1.968 1.968 0.000
0.000 1.968 4.008
0.000 1.968 12.025
1.968 0.000 4.008
1.968 0.000 12.025
```

Properties
VASP energy	-0.2297	hartree per atom
E_form	3.5	eV/f.u.
total magnetic moment	0.00	μB per formula unit
offset from the most stable computed form	188.2	kJ/mol of formula units
space group	I4/mmm

---

9.
Crystalline CrFe2Ir9 at its relaxed geometry. Source: Alexandria via LeMat-Bulk, functional GGA-PBE.

Cell and atoms, written as POSCAR:
```
CrFe2Ir9
1.0
3.823 0.000 0.000
0.000 3.823 0.000
0.000 0.000 11.482
Cr Fe Ir
1 2 9
Cartesian
0.000 0.000 0.000
0.000 0.000 3.827
0.000 0.000 7.655
0.000 1.912 1.889
0.000 1.912 5.741
0.000 1.912 9.593
1.912 0.000 1.889
1.912 0.000 5.741
1.912 0.000 9.593
1.912 1.912 0.000
1.912 1.912 3.817
1.912 1.912 7.665
```

Properties
VASP energy	-0.3293	hartree per atom
E_form	-1.2	eV/f.u.
total magnetic moment	7.21	μB per formula unit
space group	P4/mmm

---

10.
Crystalline La4GaPdI2 at its relaxed geometry. Source: Alexandria via LeMat-Bulk, functional GGA-PBE.

Cell and atoms, written as POSCAR:
```
La4GaPdI2
1.0
7.755 0.000 0.000
0.000 4.398 0.000
-2.469 0.000 7.799
La Ga Pd I
4 1 1 2
Cartesian
1.294 0.000 1.584
0.045 2.199 6.167
5.242 2.199 1.632
3.993 0.000 6.215
3.878 0.000 0.000
0.000 2.199 0.000
-1.234 0.000 3.899
2.643 2.199 3.899
```

Properties
VASP energy	-0.1741	hartree per atom
total magnetic moment	0.00	μB per formula unit
formation energy without anion corrections	-6.86	eV per formula unit
space group	P2/m

---

11.
Crystalline Hf6TiPb2 at its relaxed geometry. Source: Alexandria via LeMat-Bulk, functional GGA-PBE.

Cell and atoms, written as POSCAR:
```
Hf6TiPb2
1.0
7.421 -1.561 0.000
7.421 1.561 0.000
-5.879 0.000 8.919
Hf Ti Pb
6 1 2
Cartesian
-0.648 0.000 2.288
-0.192 0.000 5.306
0.152 0.000 8.366
8.812 0.000 0.553
9.156 0.000 3.613
9.612 0.000 6.631
-2.939 0.000 4.460
3.955 0.000 1.842
5.010 0.000 7.077
```

Properties
VASP energy	-0.3032	hartree per atom
E_form	0.8	eV/f.u.
total magnetic moment	1.42	μB per formula unit
offset from the most stable computed form	74.4	kJ/mol of formula units
space group	C2/m

---

12.
Crystalline LiSb2TeMo at its relaxed geometry. Source: Alexandria via LeMat-Bulk, functional GGA-PBE.

Cell and atoms, written as POSCAR:
```
LiSb2TeMo
1.0
4.879 0.000 0.000
0.000 4.879 0.000
0.000 0.000 5.169
Li Sb Te Mo
1 2 1 1
Cartesian
0.000 0.000 0.000
0.000 2.440 0.000
2.440 0.000 0.000
0.000 0.000 2.584
2.440 2.440 2.584
```

Properties
VASP energy	-0.1465	hartree per atom
total magnetic moment	3.43	μB per formula unit
formation energy without anion corrections	4.19	eV per formula unit
offset from the most stable computed form	246.4	kJ/mol of formula units
space group	P4/mmm

---

13.
Crystalline Pr2HoCd3 at its relaxed geometry. Source: Alexandria via LeMat-Bulk, functional GGA-PBE.

Cell and atoms, written as POSCAR:
```
Pr2HoCd3
1.0
5.416 0.000 0.000
-2.708 4.691 0.000
0.000 0.000 13.300
Pr Ho Cd
4 2 6
Cartesian
0.000 0.000 0.000
0.000 0.000 6.650
0.000 3.127 2.272
2.708 1.564 11.029
0.000 3.127 8.865
2.708 1.564 4.435
0.000 0.000 3.387
0.000 0.000 9.914
0.000 3.127 5.566
0.000 3.127 12.142
2.708 1.564 1.159
2.708 1.564 7.735
```

Properties
VASP energy	-0.1148	hartree per atom
E_form	-1.9	eV/f.u.
total magnetic moment	1.10	μB per formula unit
space group	P-3m1